1.
Ta2GaRu2 after structural relaxation. Source: the Alexandria database, functional PBE.

Properties
* DOS(E_F): 0.67 states/eV/atom
* DFT formation energy: -0.160 eV/atom
* magnetic moment: 0.0 μB per cell

Lattice parameters (Å, degrees): 7.4117 7.4117 3.0540 90.00 90.00 90.00
Closest atoms and distances in Å follow each position.
Space group P4/mbm (No. 127)
Unique sites:
Ta 0.1629 0.3371 0.0000  6 Ru 2.61-2.69
Ga 0.0000 0.0000 0.5000  4 Ru 2.89, 2 Ga 3.05, 8 Ta 3.17
Ru 0.1348 0.6348 0.5000  6 Ta 2.61-2.69, 1 Ru 2.83, 2 Ga 2.89

---

2.
TiCd3Sn after structural relaxation. Source: the Alexandria database, functional PBE.

Properties
* DOS(E_F): 1.00 states/eV/atom
* DFT formation energy: 0.733 eV/atom
* magnetic moment: 1.5 μB per cell

Lattice parameters (Å, degrees): 5.3387 5.3387 5.3387 90.00 90.00 90.00
Closest atoms and distances in Å follow each position.
Space group Pm-3m (No. 221)
Unique sites:
Ti 0.0000 0.0000 0.0000  6 Cd 2.67
Cd 0.0000 0.0000 0.5000  2 Ti 2.67
Sn 0.5000 0.5000 0.5000  12 Cd 3.78

---

3.
YInPt after structural relaxation. Source: the Alexandria database, functional PBE.

Properties
* DOS(E_F): 0.88 states/eV/atom
* DFT formation energy: -1.005 eV/atom
* magnetic moment: 0.0 μB per cell

Lattice parameters (Å, degrees): 7.7158 7.7158 3.8465 90.00 90.00 120.00
Closest atoms and distances in Å follow each position.
Space group P-62m (No. 189)
Unique sites:
Y 0.0000 0.4051 0.0000  5 Pt 3.03-3.13, 6 In 3.21-3.35
In 0.0000 0.7384 0.5000  4 Pt 2.79-2.89
Pt 0.0000 0.0000 0.0000  6 In 2.79
Pt 0.3333 0.6667 0.5000  3 In 2.89, 6 Y 3.03

---

4.
CsCaBiI2 after structural relaxation. Source: the Alexandria database, functional PBE.

Properties
* DOS(E_F): 0.36 states/eV/atom
* uncorrected formation energy: -0.541 eV per atom
* magnetic moment: 0.0 μB per cell

Lattice parameters (Å, degrees): 6.9230 6.9230 5.8637 90.00 90.00 90.00
Closest atoms and distances in Å follow each position.
Space group P4/mmm (No. 123)
Unique sites:
Cs 0.0000 0.0000 0.0000  8 I 4.54, 4 Ca 4.90
Ca 0.5000 0.5000 0.0000  2 Bi 2.93
Bi 0.5000 0.5000 0.5000  2 Ca 2.93
I 0.0000 0.5000 0.5000  2 Bi 3.46

---

5.
SmZn2Co after structural relaxation. Source: the Alexandria database, functional PBE.

Properties
* DOS(E_F): 1.01 states/eV/atom
* DFT formation energy: -0.131 eV/atom
* magnetic moment: 0.0 μB per cell

Lattice parameters (Å, degrees): 4.1439 4.1439 15.0803 90.00 90.00 120.00
Closest atoms and distances in Å follow each position.
Space group R-3m (No. 166, hexagonal axes)
Unique sites:
Sm 0.0000 0.0000 0.0000  8 Zn 3.07-3.10
Zn 0.0000 0.0000 0.2053  3 Co 2.46, 3 Zn 2.66
Co 0.0000 0.0000 0.5000  6 Zn 2.46

---

6.
Bi2SbAu after structural relaxation. Source: the Alexandria database, functional PBE.

Properties
* DOS(E_F): 0.50 states/eV/atom
* uncorrected formation energy: 0.137 eV per atom
* magnetic moment: 0.0 μB per cell

Lattice parameters (Å, degrees): 3.8658 3.8658 7.2315 90.00 90.00 90.00
Closest atoms and distances in Å follow each position.
Space group P4/mmm (No. 123)
Unique sites:
Bi 0.0000 0.0000 0.2269  4 Au 3.19, 1 Bi 3.28, 4 Sb 3.37
Sb 0.5000 0.5000 0.5000  8 Bi 3.37, 2 Au 3.62
Au 0.5000 0.5000 0.0000  8 Bi 3.19

---

7.
Dy2TaO after structural relaxation. Source: the Alexandria database, functional PBE.

Properties
* DOS(E_F): 0.41 states/eV/atom
* uncorrected formation energy: -0.795 eV per atom
* magnetic moment: 2.4 μB per cell

Lattice parameters (Å, degrees): 3.2389 3.2389 26.4688 90.00 90.00 120.00
Closest atoms and distances in Å follow each position.
Space group R-3m (No. 166, hexagonal axes)
Unique sites:
Dy 0.0000 0.0000 0.1116  3 O 2.37
Ta 0.0000 0.0000 0.0000  2 Dy 2.95, 6 Ta 3.24
O 0.0000 0.0000 0.5000  6 Dy 2.37

---

8.
ZnCd2Cl after structural relaxation. Source: the Alexandria database, functional PBE.

Properties
* DOS(E_F): 0.30 states/eV/atom
* uncorrected formation energy: -0.070 eV per atom
* magnetic moment: 0.0 μB per cell

Lattice parameters (Å, degrees): 4.1111 4.1111 11.1281 90.00 90.00 90.00
Closest atoms and distances in Å follow each position.
Space group I-4m2 (No. 119)
Unique sites:
Zn 0.0000 0.0000 0.0000  4 Cd 2.91
Cd 0.0000 0.0000 0.5000  4 Zn 2.91
Cd 0.0000 0.5000 0.7500  4 Cl 2.91
Cl 0.0000 0.5000 0.2500  4 Cd 2.91

---

9.
K2ScTa after structural relaxation. Source: the Alexandria database, functional PBE.

Properties
* DOS(E_F): 1.21 states/eV/atom
* DFT formation energy: 1.125 eV/atom
* magnetic moment: 1.1 μB per cell

Lattice parameters (Å, degrees): 3.1089 5.5412 6.6977 90.00 90.00 90.00
Closest atoms and distances in Å follow each position.
Space group Pmmm (No. 47)
Unique sites:
K 0.0000 0.0000 0.0000  6 K 3.11-3.18
K 0.5000 0.5000 0.0000  6 K 3.11-3.18
Sc 0.0000 0.5000 0.5000  2 Sc 3.11, 4 Ta 3.18
Ta 0.5000 0.0000 0.5000  2 Ta 3.11, 4 Sc 3.18

---

10.
Er6Th2Sc after structural relaxation. Source: the Alexandria database, functional PBE.

Properties
* DOS(E_F): 1.50 states/eV/atom
* DFT formation energy: 0.045 eV/atom
* magnetic moment: 0.0 μB per cell

Lattice parameters (Å, degrees): 11.0230 4.9892 10.4557 90.00 108.13 90.00
Closest atoms and distances in Å follow each position.
Space group C2/m (No. 12)
Unique sites:
Er 0.1637 0.0000 0.0544  7 Er 3.43-3.55, 5 Th 3.50-3.53
Er 0.1646 0.0000 0.7200  7 Er 3.46-3.55, 3 Th 3.49-3.50, 2 Sc 3.49
Er 0.1663 0.0000 0.3897  7 Er 3.46-3.51, 3 Sc 3.50, 2 Th 3.50
Th 0.0010 0.5000 0.1696  1 Sc 3.46, 10 Er 3.49-3.53, 1 Th 3.54
Sc 0.0000 0.5000 0.5000  2 Th 3.46, 10 Er 3.49-3.50

---

11.
Pm3Zn2Cd7 after structural relaxation. Source: the Alexandria database, functional PBE.

Properties
* DOS(E_F): 0.63 states/eV/atom
* DFT formation energy: -0.240 eV/atom
* magnetic moment: 0.0 μB per cell

Lattice parameters (Å, degrees): 5.9359 5.9359 27.8836 90.00 90.00 120.00
Closest atoms and distances in Å follow each position.
Space group R-3m (No. 166, hexagonal axes)
Unique sites:
Pm 0.0000 0.0000 0.0000  6 Zn 3.43, 12 Cd 3.71
Pm 0.0000 0.0000 0.1399  12 Cd 3.40-3.58, 3 Pm 3.74
Zn 0.0000 0.0000 0.3347  6 Cd 2.80-2.83
Cd 0.0000 0.0000 0.5000  6 Cd 2.98
Cd 0.0056 0.5028 0.9199  2 Zn 2.80-2.83, 5 Cd 2.92-3.02

---

12.
Ta2Cd after structural relaxation. Source: the Alexandria database, functional PBE.

Properties
* DOS(E_F): 0.79 states/eV/atom
* DFT formation energy: 0.353 eV/atom
* magnetic moment: 0.0 μB per cell

Lattice parameters (Å, degrees): 3.0640 14.9409 5.0024 90.00 90.00 90.00
Closest atoms and distances in Å follow each position.
Space group Cmcm (No. 63)
Unique sites:
Ta 0.0000 0.0740 0.2500  4 Ta 2.83-3.06, 6 Cd 2.95-2.99
Ta 0.0000 0.2669 0.7500  8 Ta 2.83-3.06, 2 Cd 2.95
Cd 0.0000 0.4022 0.2500  10 Ta 2.95-3.22, 2 Cd 3.06

---

13.
SbIO6 after structural relaxation. Source: the Alexandria database, functional PBE.

Properties
* uncorrected formation energy: -0.519 eV per atom
* magnetic moment: 0.0 μB per cell

Lattice parameters (Å, degrees): 4.9260 4.9260 9.0146 90.00 90.00 120.00
Closest atoms and distances in Å follow each position.
Space group P-31c (No. 163)
Unique sites:
Sb 0.3333 0.6667 0.2500  6 O 2.02
I 0.0000 0.0000 0.0000  6 O 1.91
O 0.0093 0.3246 0.1193  1 I 1.91, 1 Sb 2.02